# 1
Entry from the Alexandria database: a relaxed TlCoCl2 crystal (PBE-GGA). Values from VASP.

Calculated values
Volume, A^3/atom: 22.93
Energy relative to the elements, uncorrected, meV per atom: -434
Polymorph energy (0 for the lowest one), eV/f.u.: 0.04

Structure (Quantum ESPRESSO input):
```
&SYSTEM
  ibrav = 0, nat = 8, ntyp = 3
/
ATOMIC_SPECIES
Tl 204.38 Tl.upf
Co 58.93 Co.upf
Cl 35.45 Cl.upf
CELL_PARAMETERS angstrom
6.1761 0.0000 0.0000
0.0000 3.5104 0.0000
-1.6469 0.0000 8.4596
ATOMIC_POSITIONS angstrom
Tl 0.0000 0.0000 0.0000
Tl 3.0880 1.7552 0.0000
Co -0.8235 1.7552 4.2298
Co 2.2646 0.0000 4.2298
Cl 0.2097 0.0000 5.5932
Cl 1.2314 1.7552 2.8664
Cl 3.2977 1.7552 5.5932
Cl 4.3194 0.0000 2.8664
```

# 2
Entry from the Alexandria database: a relaxed NaLi2OsS crystal (PBE-GGA). Values from VASP.

Calculated values
Volume, A^3/atom: 22.30
Energy relative to the elements, uncorrected, meV per atom: 510
Polymorph energy (0 for the lowest one), eV/f.u.: 0.00

Structure (Quantum ESPRESSO input):
```
&SYSTEM
  ibrav = 0, nat = 5, ntyp = 4
/
ATOMIC_SPECIES
Na 22.99 Na.upf
Li 6.94 Li.upf
Os 190.23 Os.upf
S 32.06 S.upf
CELL_PARAMETERS angstrom
4.5768 0.0000 0.0000
0.0000 4.5768 0.0000
0.0000 0.0000 5.3227
ATOMIC_POSITIONS angstrom
Na 0.0000 0.0000 0.0000
Li 0.0000 2.2884 2.6614
Li 2.2884 0.0000 2.6614
Os 2.2884 2.2884 0.0000
S 0.0000 0.0000 2.6614
```

# 3
Entry from the Alexandria database: a relaxed La5NdEr3 crystal (PBE-GGA). Values from VASP.

Calculated values
Energy relative to the elements, meV per atom: 245.1
Volume, A^3/atom: 36.01

Structure (Quantum ESPRESSO input):
```
&SYSTEM
  ibrav = 0, nat = 18, ntyp = 3
/
ATOMIC_SPECIES
La 138.91 La.upf
Nd 144.24 Nd.upf
Er 167.26 Er.upf
CELL_PARAMETERS angstrom
9.5541 -3.3158 0.0000
9.5541 3.3158 0.0000
-5.0088 0.0000 10.2295
ATOMIC_POSITIONS angstrom
La 4.9074 2.0314 2.9552
La 5.7975 2.6635 7.6721
La 3.0899 1.1307 6.5587
La 11.6964 2.0314 2.1596
La 5.5942 -1.1307 1.4440
La 8.5051 1.1307 8.7855
La 2.4030 -2.0314 8.0700
La 11.0095 -1.1307 3.6708
La 8.3019 -2.6635 2.5574
La 9.1920 -2.0314 7.2743
Nd 8.3019 0.9265 2.5574
Nd 5.7975 -0.9265 7.6721
Er 1.5442 1.9223 10.0828
Er 10.0507 1.9223 5.2615
Er 9.5541 0.0000 0.0000
Er 7.0497 0.0000 5.1148
Er 4.0486 -1.9223 4.9680
Er 12.5551 -1.9223 0.1467
```

# 4
Entry from the Alexandria database: a relaxed Sr2CdSb2 crystal (PBE-GGA). Values from VASP.

Calculated values
Volume, A^3/atom: 34.39
Energy relative to the elements, uncorrected, meV per atom: -825

Structure (Quantum ESPRESSO input):
```
&SYSTEM
  ibrav = 0, nat = 20, ntyp = 3
/
ATOMIC_SPECIES
Sr 87.62 Sr.upf
Cd 112.41 Cd.upf
Sb 121.76 Sb.upf
CELL_PARAMETERS angstrom
9.8780 0.0000 0.0000
0.0000 8.4654 0.0000
-0.2159 0.0000 8.2254
ATOMIC_POSITIONS angstrom
Sr 0.9040 2.1155 0.0389
Sr 0.7960 2.1172 4.1517
Sr 3.3368 6.0080 3.9984
Sr 3.2289 6.6901 8.1111
Sr 6.4333 1.7753 0.1143
Sr 6.3253 2.4574 4.2270
Sr 8.8661 6.3482 4.0738
Sr 8.7582 6.3499 8.1865
Cd 3.6700 0.7411 2.6960
Cd 3.5620 3.4916 6.8087
Cd 6.1001 4.9738 1.4168
Cd 5.9922 7.7243 5.5295
Sb 1.1121 4.8152 6.1741
Sb 1.2200 7.8829 2.0614
Sb 3.5245 0.7690 5.8692
Sb 3.6325 3.4637 1.7564
Sb 6.0297 5.0017 6.4690
Sb 6.1376 7.6965 2.3563
Sb 8.4421 0.5825 6.1640
Sb 8.5500 3.6502 2.0513
```

# 5
Entry from the Alexandria database: a relaxed AsOs2Au crystal (PBE-GGA). Values from VASP.

Calculated values
Energy relative to the elements, meV per atom: 843.5
Volume, A^3/atom: 16.03

Structure (Quantum ESPRESSO input):
```
&SYSTEM
  ibrav = 0, nat = 16, ntyp = 3
/
ATOMIC_SPECIES
As 74.92 As.upf
Os 190.23 Os.upf
Au 196.97 Au.upf
CELL_PARAMETERS angstrom
6.3535 0.0000 0.0000
0.0000 6.3535 0.0000
0.0000 0.0000 6.3535
ATOMIC_POSITIONS angstrom
As 0.0000 0.0000 0.0000
As 0.0000 3.1767 3.1767
As 3.1767 0.0000 3.1767
As 3.1767 3.1767 0.0000
Os 0.0000 0.0000 3.1767
Os 0.0000 3.1767 0.0000
Os 1.5884 1.5884 1.5884
Os 1.5884 4.7651 4.7651
Os 3.1767 0.0000 0.0000
Os 3.1767 3.1767 3.1767
Os 4.7651 1.5884 4.7651
Os 4.7651 4.7651 1.5884
Au 1.5884 1.5884 4.7651
Au 1.5884 4.7651 1.5884
Au 4.7651 1.5884 1.5884
Au 4.7651 4.7651 4.7651
```

# 6
Entry from the Alexandria database: a relaxed Pm8PrEr4 crystal (PBE-GGA). Values from VASP.

Calculated values
Energy relative to the elements, meV per atom: 180.9
Volume, A^3/atom: 33.71

Structure (Quantum ESPRESSO input):
```
&SYSTEM
  ibrav = 0, nat = 13, ntyp = 3
/
ATOMIC_SPECIES
Pm 145.00 Pm.upf
Pr 140.91 Pr.upf
Er 167.26 Er.upf
CELL_PARAMETERS angstrom
3.6738 2.1210 9.3728
-3.6738 2.1210 9.3728
0.0000 -4.2421 9.3728
ATOMIC_POSITIONS angstrom
Pm -2.0215 -1.1671 15.9679
Pm 0.0000 0.0000 6.0913
Pm 0.0000 -2.3343 12.1506
Pm -2.0215 1.1671 12.1506
Pm 2.0215 -1.1671 15.9679
Pm 0.0000 2.3343 15.9679
Pm 0.0000 0.0000 22.0272
Pm 2.0215 1.1671 12.1506
Pr 0.0000 0.0000 14.0592
Er 0.0000 0.0000 0.0000
Er -1.8369 -1.0605 9.3728
Er -1.8369 1.0605 18.7457
Er 0.0000 2.1210 9.3728
```